A plane-wave DFT calculation with PBE was carried out for ZrCu2Pb2O6 after structural relaxation.

Output
Its total energy is -6.26 eV per atom. The value obtained for the energy relative to the elements, uncorrected is -14.95 eV/f.u.

Lattice parameters (Å, degrees): 5.489 5.489 7.529 90.00 90.00 120.00
Site moments in Bohr magnetons follow the coordinates.
Positions (direct):
1 Pb 0.333 0.667 0.330  0.00
2 Pb 0.667 0.333 0.670  0.00
3 O 0.002 0.318 0.164  0.14
4 O 0.684 0.002 0.836  0.14
5 O 0.318 0.316 0.836  0.14
6 O 0.682 0.684 0.164  0.14
7 O 0.998 0.682 0.836  0.14
8 O 0.316 0.998 0.164  0.14
9 Cu 0.667 0.333 0.143  0.55
10 Cu 0.333 0.667 0.857  0.55
11 Zr 0.000 0.000 0.000  -0.02